DFT (PBEsol) results for an optimized crystal structure of Ta2ReBrCl.

Output
As for the space group: No. 123. The formation energy from raw total energies is 2324 meV per atom. As for the density of states at the Fermi level: 6.4 states/eV/cell.

a b c (Å): 4.677 4.677 4.868
angles (deg): 90.00 90.00 90.00
Element x y z (fractional)
Ta (0.000, 0.500, 0.000)
Ta (0.500, 0.000, 0.000)
Re (0.000, 0.000, 0.500)
Br (0.500, 0.500, 0.000)
Cl (0.500, 0.500, 0.500)


DFT (PBEsol) results for an optimized crystal structure of Ca6Al3Si8N18.

Output
As for the space group: No. 1. The formation energy from raw total energies is -1322 meV per atom. As for the density of states at the Fermi level: 3.0 states/eV/cell.

a b c (Å): 7.521 7.549 7.593
angles (deg): 79.38 81.30 80.18
Element x y z (fractional)
Ca (0.000, 0.000, 0.000)
Ca (0.002, 0.118, 0.382)
Ca (0.374, 0.371, 0.765)
Ca (0.395, 0.340, 0.351)
Ca (0.668, 0.657, 0.678)
Ca (0.717, 0.680, 0.104)
Al (0.047, 0.715, 0.715)
Al (0.325, 0.981, 0.669)
Al (0.394, 0.029, 0.052)
Si (0.049, 0.393, 0.052)
Si (0.313, 0.651, 0.016)
Si (0.353, 0.738, 0.393)
Si (0.655, 0.976, 0.341)
Si (0.666, 0.296, 0.014)
Si (0.710, 0.049, 0.725)
Si (0.977, 0.329, 0.681)
Si (0.999, 0.628, 0.344)
N (0.155, 0.571, 0.914)
N (0.192, 0.212, 0.638)
N (0.194, 0.196, 0.104)
N (0.208, 0.846, 0.552)
N (0.229, 0.658, 0.249)
N (0.329, 0.872, 0.913)
N (0.476, 0.556, 0.510)
N (0.488, 0.888, 0.256)
N (0.520, 0.505, 0.996)
N (0.573, 0.991, 0.573)
N (0.581, 0.144, 0.906)
N (0.681, 0.189, 0.229)
N (0.822, 0.224, 0.616)
N (0.840, 0.850, 0.814)
N (0.864, 0.840, 0.302)
N (0.890, 0.345, 0.916)
N (0.939, 0.469, 0.242)
N (0.982, 0.556, 0.579)


DFT (PBEsol) results for an optimized crystal structure of SiAu.

Output
As for the space group: No. 12. The formation energy from raw total energies is -65 meV per atom. As for the density of states at the Fermi level: 0.5 states/eV/cell.

a b c (Å): 4.198 4.198 4.824
angles (deg): 108.91 108.91 68.04
Element x y z (fractional)
Si (0.184, 0.184, 0.116)
Si (0.816, 0.816, 0.884)
Au (0.269, 0.269, 0.670)
Au (0.731, 0.731, 0.330)


DFT (PBEsol) results for an optimized crystal structure of In2GaBi.

Output
The total energy comes out at -13.31 eV/f.u. As for the space group: No. 225. As for the density of states at the Fermi level: 2.8 states/eV/cell.

a b c (Å): 5.246 5.246 5.246
angles (deg): 60.00 60.00 60.00
Element x y z (fractional)
In (0.250, 0.250, 0.250)
In (0.750, 0.750, 0.750)
Ga (0.000, 0.000, 0.000)
Bi (0.500, 0.500, 0.500)


DFT (PBEsol) results for an optimized crystal structure of Lu2Pt.

Output
The total energy comes out at -19.72 eV/f.u. As for the space group: No. 62. As for the density of states at the Fermi level: 9.6 states/eV/cell.

a b c (Å): 6.879 4.598 8.484
angles (deg): 90.00 90.00 90.00
Element x y z (fractional)
Lu (0.012, 0.250, 0.170)
Lu (0.146, 0.250, 0.578)
Lu (0.354, 0.750, 0.078)
Lu (0.488, 0.750, 0.670)
Lu (0.512, 0.250, 0.330)
Lu (0.646, 0.250, 0.922)
Lu (0.854, 0.750, 0.422)
Lu (0.988, 0.750, 0.830)
Pt (0.241, 0.250, 0.904)
Pt (0.259, 0.750, 0.404)
Pt (0.741, 0.250, 0.596)
Pt (0.759, 0.750, 0.096)


DFT (PBEsol) results for an optimized crystal structure of Ti2RuRhF.

Output
As for the space group: No. 123. The formation energy from raw total energies is 116 meV per atom. As for the density of states at the Fermi level: 3.2 states/eV/cell.

a b c (Å): 4.596 4.596 3.858
angles (deg): 90.00 90.00 90.00
Element x y z (fractional)
Ti (0.000, 0.500, 0.000)
Ti (0.500, 0.000, 0.000)
Ru (0.000, 0.000, 0.000)
Rh (0.500, 0.500, 0.500)
F (0.000, 0.000, 0.500)


DFT (PBEsol) results for an optimized crystal structure of Mg2InAu.

Output
The total energy comes out at -11.79 eV/f.u. As for the space group: No. 123. As for the density of states at the Fermi level: 1.4 states/eV/cell.

a b c (Å): 3.321 3.321 7.176
angles (deg): 90.00 90.00 90.00
Element x y z (fractional)
Mg (0.000, 0.000, 0.216)
Mg (0.000, 0.000, 0.784)
In (0.500, 0.500, 0.500)
Au (0.500, 0.500, 0.000)


DFT (PBEsol) results for an optimized crystal structure of LaTaMo2.

Output
For the energy above the most stable polymorph in this dataset, the calculation gives 0.106 eV per atom. As for the space group: No. 10. As for the density of states at the Fermi level: 4.6 states/eV/cell.

a b c (Å): 2.974 4.350 6.178
angles (deg): 90.00 95.30 90.00
Element x y z (fractional)
La (0.000, 0.000, 0.000)
Ta (0.500, 0.000, 0.500)
Mo (0.184, 0.500, 0.688)
Mo (0.816, 0.500, 0.312)